1.
Computed, not measured: a relaxed Ta2RuPb crystal at the PBE-GGA level of DFT.

It has space group Immm (No. 71), with a = 3.395 Å, b = 4.606 Å, c = 9.314 Å, α = 90.00°, β = 90.00° and γ = 90.00°. The distinct sites, in fractional coordinates, are Ta at (0.000, 0.000, 0.237), Ru at (0.000, 0.500, 0.500) and Pb at (0.000, 0.500, 0.000).

Its raw total energy is -8.95 eV per atom. The value obtained for the formation energy is 0.22 eV/atom. Its volume is 145.6 Å³ per cell.

=====

2.
Computed, not measured: a relaxed TaRu3Pb crystal at the PBE-GGA level of DFT.

It has space group Pm-3m (No. 221), with a = 4.802 Å, b = 4.802 Å, c = 4.802 Å, α = 90.00°, β = 90.00° and γ = 90.00°. The distinct sites, in fractional coordinates, are Ta at (0.000, 0.000, 0.000), Ru at (0.000, 0.500, 0.500) and Pb at (0.500, 0.500, 0.500).

Its raw total energy is -6.44 eV per atom. The value obtained for the formation energy is 2.24 eV/atom. Its volume is 110.7 Å³ per cell.

=====

3.
Computed, not measured: a relaxed Ta2RuPb crystal at the PBE-GGA level of DFT.

It has space group P4mm (No. 99), with a = 3.171 Å, b = 3.171 Å, c = 7.717 Å, α = 90.00°, β = 90.00° and γ = 90.00°. The distinct sites, in fractional coordinates, are Ta at (0.000, 0.000, 0.000), Ta at (0.500, 0.500, 0.241), Ru at (0.500, 0.500, 0.820) and Pb at (0.000, 0.000, 0.543).

Its raw total energy is -9.01 eV per atom. The value obtained for the formation energy is 0.17 eV/atom. Its volume is 77.6 Å³ per cell.